# Ca8Hg3Bi2 | Alexandria via LeMat-Bulk | GGA-PBE | relaxed
# VASP energy, Ry/atom: -0.181
# ρ, g cm⁻³: 5.1
data_Ca8Hg3Bi2
_chemical_formula_sum 'Ca16 Hg6 Bi4'
_symmetry_space_group_name_H-M 'C m m m'
_symmetry_Int_Tables_number 65
_symmetry_space_group_name_Hall '-C 2 2'
_cell_length_a 10.605
_cell_length_b 15.511
_cell_length_c 5.332
_cell_angle_alpha 90.00
_cell_angle_beta 90.00
_cell_angle_gamma 90.00
loop_
_atom_site_label
_atom_site_type_symbol
_atom_site_fract_x
_atom_site_fract_y
_atom_site_fract_z
_atom_site_occupancy
Ca1 Ca 0.000 0.120 0.000 1
Ca2 Ca 0.000 0.379 0.000 1
Ca3 Ca 0.247 0.380 0.500 1
Hg1 Hg 0.000 0.000 0.500 1
Hg2 Hg 0.246 0.500 0.000 1
Bi1 Bi 0.000 0.249 0.500 1

---

# Ca2Hg2Bi3 | Alexandria via LeMat-Bulk | GGA-PBE | relaxed
# VASP energy, Ry/atom: -0.199
# ρ, g cm⁻³: 8.2
data_Ca2Hg2Bi3
_chemical_formula_sum 'Ca8 Hg8 Bi12'
_symmetry_space_group_name_H-M 'I 21 3'
_symmetry_Int_Tables_number 199
_symmetry_space_group_name_Hall 'I 2b 2c 3'
_cell_length_a 9.655
_cell_length_b 9.655
_cell_length_c 9.655
_cell_angle_alpha 90.00
_cell_angle_beta 90.00
_cell_angle_gamma 90.00
loop_
_atom_site_label
_atom_site_type_symbol
_atom_site_fract_x
_atom_site_fract_y
_atom_site_fract_z
_atom_site_occupancy
Ca1 Ca 0.010 0.010 0.010 1
Hg1 Hg 0.171 0.329 0.671 1
Bi1 Bi 0.000 0.250 0.260 1

---

# Ca5Hg2Bi | Alexandria via LeMat-Bulk | GGA-PBE | relaxed
# VASP energy, Ry/atom: -0.173
# ρ, g cm⁻³: 5.3
data_Ca5Hg2Bi
_chemical_formula_sum 'Ca20 Hg8 Bi4'
_symmetry_space_group_name_H-M 'I 4/m c m'
_symmetry_Int_Tables_number 140
_symmetry_space_group_name_Hall '-I 4 2c'
_cell_length_a 8.319
_cell_length_b 8.319
_cell_length_c 14.678
_cell_angle_alpha 90.00
_cell_angle_beta 90.00
_cell_angle_gamma 90.00
loop_
_atom_site_label
_atom_site_type_symbol
_atom_site_fract_x
_atom_site_fract_y
_atom_site_fract_z
_atom_site_occupancy
Ca1 Ca 0.000 0.000 0.000 1
Ca2 Ca 0.164 0.336 0.145 1
Hg1 Hg 0.132 0.368 0.500 1
Bi1 Bi 0.000 0.000 0.250 1

---

# CaHg5Bi | Alexandria via LeMat-Bulk | GGA-PBE | relaxed
# VASP energy, Ry/atom: -0.087
# ρ, g cm⁻³: 10.2
data_CaHg5Bi
_chemical_formula_sum 'Ca2 Hg10 Bi2'
_symmetry_space_group_name_H-M 'I m m 2'
_symmetry_Int_Tables_number 44
_symmetry_space_group_name_Hall 'I 2 -2'
_cell_length_a 6.419
_cell_length_b 6.694
_cell_length_c 9.458
_cell_angle_alpha 90.00
_cell_angle_beta 90.00
_cell_angle_gamma 90.00
loop_
_atom_site_label
_atom_site_type_symbol
_atom_site_fract_x
_atom_site_fract_y
_atom_site_fract_z
_atom_site_occupancy
Ca1 Ca 0.000 0.000 0.000 1
Hg1 Hg 0.000 0.212 0.330 1
Hg2 Hg 0.000 0.500 0.899 1
Hg3 Hg 0.225 0.000 0.665 1
Bi1 Bi 0.000 0.500 0.580 1